VASP calculation (PBE) on crystalline Y2TcSe at its relaxed geometry.

a = 3.3216 Å, b = 3.3216 Å, c = 8.2175 Å
α = 90.00°, β = 90.00°, γ = 90.00°
Last column: nearest neighbours and their distance in Å.
Space group P4mm (No. 99)
One atom of each set of equivalent atoms:
Y: 0.0000 0.0000 0.0000  4 Tc 3.10, 1 Se 3.21, 4 Y 3.32
Y: 0.5000 0.5000 0.3538  4 Se 3.15, 1 Tc 3.28, 4 Y 3.32
Tc: 0.5000 0.5000 0.7530  4 Se 2.63
Se: 0.0000 0.0000 0.6090  4 Tc 2.63

Output
- formation energy (no corrections) (eV/atom) = -0.21
- calculated density (Mg/m³) = 6.5


VASP calculation (PBE) on crystalline YTc2Se at its relaxed geometry.

a = 10.2720 Å, b = 3.6148 Å, c = 4.4384 Å
α = 90.00°, β = 108.28°, γ = 90.00°
Last column: nearest neighbours and their distance in Å.
Space group C2/m (No. 12)
One atom of each set of equivalent atoms:
Y: 0.0000 0.0000 0.0000  4 Se 2.86, 4 Tc 3.09-3.20
Tc: 0.2285 0.0000 0.6484  2 Tc 2.36
Se: 0.0000 0.5000 0.5000  4 Y 2.86, 6 Tc 2.87-3.06

Output
- formation energy (no corrections) (eV/atom) = -0.08
- calculated density (Mg/m³) = 7.7


VASP calculation (PBE) on crystalline YTc2Se at its relaxed geometry.

a = 4.2403 Å, b = 4.2403 Å, c = 15.3597 Å
α = 90.00°, β = 90.00°, γ = 120.00°
Last column: nearest neighbours and their distance in Å.
Space group R3m (No. 160, hexagonal axes)
One atom of each set of equivalent atoms:
Y: 0.0000 0.0000 0.0000  3 Se 3.00, 7 Tc 3.12-3.35
Tc: 0.0000 0.0000 0.4821  3 Tc 2.46, 3 Se 2.68
Tc: 0.0000 0.0000 0.7967  3 Tc 2.46
Se: 0.0000 0.0000 0.2203  6 Tc 2.68-2.81, 3 Y 3.00

Output
- formation energy (no corrections) (eV/atom) = -0.27
- calculated density (Mg/m³) = 7.6


VASP calculation (PBE) on crystalline Y4TcSe at its relaxed geometry.

a = 8.6246 Å, b = 8.6246 Å, c = 8.6246 Å
α = 90.00°, β = 90.00°, γ = 90.00°
Last column: nearest neighbours and their distance in Å.
Space group F-43m (No. 216)
One atom of each set of equivalent atoms:
Y: 0.1235 0.1235 0.3765  6 Y 3.01-3.09
Tc: 0.2500 0.2500 0.7500  12 Y 3.57, 4 Se 3.73
Se: 0.0000 0.0000 0.0000  12 Y 3.58, 4 Tc 3.73

Output
- formation energy (no corrections) (eV/atom) = 0.69
- calculated density (Mg/m³) = 5.5


VASP calculation (PBE) on crystalline YTcSe at its relaxed geometry.

a = 3.2553 Å, b = 3.2553 Å, c = 11.0507 Å
α = 90.00°, β = 90.00°, γ = 90.00°
Last column: nearest neighbours and their distance in Å.
Space group I4mm (No. 107)
One atom of each set of equivalent atoms:
Y: 0.0000 0.0000 0.0000  4 Tc 3.08, 5 Se 3.24-3.25, 4 Y 3.26
Tc: 0.0000 0.0000 0.3144  4 Se 2.60
Se: 0.0000 0.0000 0.7057  4 Tc 2.60

Output
- formation energy (no corrections) (eV/atom) = -0.36
- energy above the most stable polymorph in this dataset (eV/atom) = 0.103
- calculated density (Mg/m³) = 7.5


VASP calculation (PBE) on crystalline YTc2Se at its relaxed geometry.

a = 3.7769 Å, b = 3.6985 Å, c = 5.8724 Å
α = 90.00°, β = 99.43°, γ = 90.00°
Last column: nearest neighbours and their distance in Å.
Space group Pm (No. 6)
One atom of each set of equivalent atoms:
Y: 0.0000 0.0000 0.0000  4 Se 2.88-2.92, 4 Tc 3.10-3.21
Tc: 0.0003 0.5000 0.4243  2 Tc 2.35, 1 Se 2.54
Tc: 0.6205 0.0000 0.4434  2 Tc 2.35
Se: 0.4547 0.5000 0.7943  1 Tc 2.54

Output
- formation energy (no corrections) (eV/atom) = -0.17
- calculated density (Mg/m³) = 7.5


VASP calculation (PBE) on crystalline Y2TcSe at its relaxed geometry.

a = 4.4021 Å, b = 3.7954 Å, c = 10.6197 Å
α = 90.00°, β = 90.00°, γ = 90.00°
Last column: nearest neighbours and their distance in Å.
Space group Amm2 (No. 38)
One atom of each set of equivalent atoms:
Y: 0.0000 0.0000 0.0000  3 Tc 2.95-3.03, 4 Se 2.99
Y: 0.5000 0.0000 0.2823  4 Tc 2.97, 3 Se 2.99-3.00
Tc: 0.0000 0.0000 0.7227  2 Se 2.77, 7 Y 2.95-3.03
Se: 0.5000 0.0000 0.5650  2 Tc 2.77, 7 Y 2.99-3.00

Output
- formation energy (no corrections) (eV/atom) = -0.67
- calculated density (Mg/m³) = 6.6


VASP calculation (PBE) on crystalline YTc4Se at its relaxed geometry.

a = 7.5001 Å, b = 7.5001 Å, c = 7.5001 Å
α = 90.00°, β = 90.00°, γ = 90.00°
Last column: nearest neighbours and their distance in Å.
Space group F-43m (No. 216)
One atom of each set of equivalent atoms:
Y: 0.0000 0.0000 0.0000  12 Tc 3.11, 4 Se 3.25
Tc: 0.1236 0.1236 0.6236  6 Tc 2.62-2.68
Se: 0.2500 0.2500 0.2500  12 Tc 3.11, 4 Y 3.25

Output
- formation energy (no corrections) (eV/atom) = 0.24
- calculated density (Mg/m³) = 8.8


Please write out number 7 again, unchanged.
VASP calculation (PBE) on crystalline Y2TcSe at its relaxed geometry.

a = 4.4021 Å, b = 3.7954 Å, c = 10.6197 Å
α = 90.00°, β = 90.00°, γ = 90.00°
Last column: nearest neighbours and their distance in Å.
Space group Amm2 (No. 38)
One atom of each set of equivalent atoms:
Y: 0.0000 0.0000 0.0000  3 Tc 2.95-3.03, 4 Se 2.99
Y: 0.5000 0.0000 0.2823  4 Tc 2.97, 3 Se 2.99-3.00
Tc: 0.0000 0.0000 0.7227  2 Se 2.77, 7 Y 2.95-3.03
Se: 0.5000 0.0000 0.5650  2 Tc 2.77, 7 Y 2.99-3.00

Output
- formation energy (no corrections) (eV/atom) = -0.67
- calculated density (Mg/m³) = 6.6


Which of these has the highest calculated density? YTc4Se


Copy entry 4 word for word.
VASP calculation (PBE) on crystalline Y4TcSe at its relaxed geometry.

a = 8.6246 Å, b = 8.6246 Å, c = 8.6246 Å
α = 90.00°, β = 90.00°, γ = 90.00°
Last column: nearest neighbours and their distance in Å.
Space group F-43m (No. 216)
One atom of each set of equivalent atoms:
Y: 0.1235 0.1235 0.3765  6 Y 3.01-3.09
Tc: 0.2500 0.2500 0.7500  12 Y 3.57, 4 Se 3.73
Se: 0.0000 0.0000 0.0000  12 Y 3.58, 4 Tc 3.73

Output
- formation energy (no corrections) (eV/atom) = 0.69
- calculated density (Mg/m³) = 5.5